First-principles (PBE) data for an optimized crystal structure of Cs2MgPtBr6, as listed in the Alexandria database.

```
data_Cs2MgPtBr6
_symmetry_space_group_name_H-M 'R -3 m'
_symmetry_Int_Tables_number 166
_symmetry_space_group_name_Hall '-R 3 2"'
_cell_length_a 7.7427
_cell_length_b 7.7427
_cell_length_c 38.5982
_cell_angle_alpha 90.00
_cell_angle_beta 90.00
_cell_angle_gamma 120.00
loop_
_atom_site_label
_atom_site_fract_x
_atom_site_fract_y
_atom_site_fract_z
_atom_site_occupancy
Cs1 0.0000 0.0000 0.1222 1
Cs2 0.0000 0.0000 0.2953 1
Mg1 0.0000 0.0000 0.4144 1
Pt1 0.0000 0.0000 0.0000 1
Pt2 0.0000 0.0000 0.5000 1
Br1 0.0033 0.5016 0.7078 1
Br2 0.0178 0.5089 0.1245 1
```

Raw formation energy ... -1133.9 meV per atom

First-principles (PBE) data for an optimized crystal structure of Sr2MgAs4Rh3, as listed in the Alexandria database.

```
data_Sr2MgAs4Rh3
_symmetry_space_group_name_H-M 'P -4 m 2'
_symmetry_Int_Tables_number 115
_cell_length_a 4.373
_cell_length_b 4.373
_cell_length_c 10.501
_cell_angle_alpha 90.00
_cell_angle_beta 90.00
_cell_angle_gamma 90.00
loop_
_symmetry_equiv_pos_as_xyz
'x,y,z'
'y,-x,-z'
'-x,-y,z'
'-y,x,-z'
'-x,y,z'
'-y,-x,-z'
'x,-y,z'
'y,x,-z'
loop_
_atom_site_label
_atom_site_fract_x
_atom_site_fract_y
_atom_site_fract_z
_atom_site_occupancy
Sr1 0.000 0.500 0.241 1
Mg1 0.000 0.000 0.500 1
As1 0.000 0.000 0.000 1
As2 0.000 0.500 0.645 1
As3 0.500 0.500 0.000 1
Rh1 0.000 0.500 0.886 1
Rh2 0.500 0.500 0.500 1
```

DFT formation energy ... -17.532 kcal/mol of atoms

First-principles (PBE) data for an optimized crystal structure of Bi2AuS2, as listed in the Alexandria database.

```
data_Bi2AuS2
_symmetry_space_group_name_H-M 'P 4/m b m'
_symmetry_Int_Tables_number 127
_symmetry_space_group_name_Hall '-P 4 2ab'
_cell_length_a 8.098
_cell_length_b 8.098
_cell_length_c 3.591
_cell_angle_alpha 90.00
_cell_angle_beta 90.00
_cell_angle_gamma 90.00
loop_
_atom_site_label
_atom_site_fract_x
_atom_site_fract_y
_atom_site_fract_z
_atom_site_occupancy
Bi1 0.185 0.315 0.000 1
Au1 0.000 0.000 0.500 1
S1 0.134 0.634 0.500 1
```

Raw formation energy ... 154.1 meV per atom

First-principles (PBE) data for an optimized crystal structure of Gd2AsSe, as listed in the Alexandria database.

```
data_Gd2AsSe
_symmetry_space_group_name_H-M 'R -3 m'
_symmetry_Int_Tables_number 166
_symmetry_space_group_name_Hall '-R 3 2"'
_cell_length_a 4.1495
_cell_length_b 4.1495
_cell_length_c 20.3425
_cell_angle_alpha 90.00
_cell_angle_beta 90.00
_cell_angle_gamma 120.00
loop_
_atom_site_label
_atom_site_fract_x
_atom_site_fract_y
_atom_site_fract_z
_atom_site_occupancy
Gd1 0.0000 0.0000 0.2469 1
As1 0.0000 0.0000 0.5000 1
Se1 0.0000 0.0000 0.0000 1
```

Raw formation energy ... -1748.1 meV per atom

First-principles (PBE) data for an optimized crystal structure of La3NiRh, as listed in the Alexandria database.

```
data_La3NiRh
_symmetry_space_group_name_H-M 'P m -3 m'
_symmetry_Int_Tables_number 221
_symmetry_space_group_name_Hall '-P 4 2 3'
_cell_length_a 5.492
_cell_length_b 5.492
_cell_length_c 5.492
_cell_angle_alpha 90.00
_cell_angle_beta 90.00
_cell_angle_gamma 90.00
loop_
_atom_site_label
_atom_site_fract_x
_atom_site_fract_y
_atom_site_fract_z
_atom_site_occupancy
La1 0.000 0.000 0.500 1
Ni1 0.500 0.500 0.500 1
Rh1 0.000 0.000 0.000 1
```

DFT formation energy ... 1.345 kcal/mol of atoms